(1)
{"formula": "Lu6Fe23", "functional": "SCAN", "state": "single point on PBEsol structure", "formation_energy_ev_per_atom": 0.0540, "lattice_angstrom": [[-2.030, -7.698, 1.558], [4.681, -6.053, -2.691], [4.388, -4.371, 5.238]], "species": ["Fe", "Fe", "Fe", "Fe", "Fe", "Fe", "Fe", "Fe", "Fe", "Fe", "Fe", "Fe", "Fe", "Fe", "Fe", "Fe", "Fe", "Fe", "Fe", "Fe", "Fe", "Fe", "Fe", "Lu", "Lu", "Lu", "Lu", "Lu", "Lu"], "frac_coords": [[0.637, 0.121, 0.121], [0.000, 0.500, 0.000], [0.500, 0.000, 0.500], [0.679, 0.679, 0.679], [0.679, 0.963, 0.679], [0.121, 0.121, 0.121], [0.000, 0.000, 0.500], [0.121, 0.121, 0.637], [0.963, 0.679, 0.679], [0.321, 0.037, 0.321], [0.679, 0.679, 0.963], [0.037, 0.321, 0.321], [0.500, 0.000, 0.000], [0.363, 0.879, 0.879], [0.879, 0.879, 0.879], [0.121, 0.637, 0.121], [0.321, 0.321, 0.321], [0.000, 0.000, 0.000], [0.321, 0.321, 0.037], [0.879, 0.879, 0.363], [0.500, 0.500, 0.000], [0.000, 0.500, 0.500], [0.879, 0.363, 0.879], [0.292, 0.292, 0.708], [0.708, 0.292, 0.708], [0.292, 0.708, 0.292], [0.292, 0.708, 0.708], [0.708, 0.292, 0.292], [0.708, 0.708, 0.292]]}


(2)
{"formula": "LuFe2", "functional": "SCAN", "state": "single point on PBEsol structure", "formation_energy_ev_per_atom": -0.1220, "lattice_angstrom": [[-4.304, 2.407, 0.362], [-3.893, -2.199, 2.113], [-1.611, 1.535, 4.416]], "species": ["Fe", "Fe", "Fe", "Fe", "Lu", "Lu"], "frac_coords": [[0.625, 0.625, 0.625], [0.125, 0.625, 0.625], [0.625, 0.125, 0.625], [0.625, 0.625, 0.125], [0.250, 0.250, 0.250], [0.000, 0.000, 0.000]]}


(3)
{"formula": "LuZnFeO4", "functional": "SCAN", "state": "single point on PBEsol structure", "formation_energy_uncorrected_mev_per_atom": -2443, "lattice_angstrom": [[-3.128, -0.335, 1.149], [-1.879, -2.590, -0.990], [1.154, -5.462, 6.431]], "species": ["Fe", "O", "O", "O", "O", "Lu", "Zn"], "frac_coords": [[0.787, 0.787, 0.640], [0.863, 0.863, 0.411], [0.712, 0.712, 0.864], [0.119, 0.119, 0.642], [0.296, 0.296, 0.111], [0.005, 0.005, 0.985], [0.218, 0.218, 0.347]]}


(4)
{"formula": "LuZn4FeO7", "functional": "SCAN", "state": "single point on PBEsol structure", "formation_energy_uncorrected_mev_per_atom": -2050, "lattice_angstrom": [[-2.250, 2.055, -1.230], [-0.162, -0.919, 3.151], [18.567, 25.333, 8.347]], "species": ["O", "O", "O", "O", "O", "O", "O", "O", "O", "O", "O", "O", "O", "O", "Fe", "Fe", "Zn", "Zn", "Zn", "Zn", "Zn", "Zn", "Zn", "Zn", "Lu", "Lu"], "frac_coords": [[0.000, 0.000, 0.388], [0.000, 0.000, 0.750], [0.667, 0.333, 0.809], [0.333, 0.667, 0.309], [0.333, 0.667, 0.191], [0.667, 0.333, 0.967], [0.333, 0.667, 0.467], [0.000, 0.000, 0.888], [0.333, 0.667, 0.033], [0.000, 0.000, 0.612], [0.000, 0.000, 0.112], [0.000, 0.000, 0.250], [0.667, 0.333, 0.533], [0.667, 0.333, 0.691], [0.333, 0.667, 0.250], [0.667, 0.333, 0.750], [0.000, 0.000, 0.327], [0.000, 0.000, 0.827], [0.667, 0.333, 0.593], [0.000, 0.000, 0.673], [0.333, 0.667, 0.093], [0.000, 0.000, 0.173], [0.333, 0.667, 0.407], [0.667, 0.333, 0.907], [0.000, 0.000, 0.000], [0.000, 0.000, 0.500]]}


It is found that the mass density values, taken in the order of the records, are 10270, 11134, 7423, 6606 kg/m3.
It is found that the magnetic moment values, taken in the order of the records, are 33.0, 3.7, 4.8, 4.8 μB per formula unit.